Record 1
10
Lattice="-0.341 2.535 -7.306 6.875 -3.248 -1.448 -1.358 -2.513 -0.809" Properties=species:S:1:pos:R:3 comment="Hg2Ir2W | Alexandria via LeMat-Bulk | PBE | relaxed" e_form_ev_per_atom=1.00 dft_energy_ev_per_atom=-5.2543 pbc="T T T"
Ir 3.909 -3.006 -2.669
Ir 4.755 -2.219 -6.536
Ir 1.267 -0.220 -6.893
Ir 0.421 -1.007 -3.026
Hg 5.880 -1.890 -3.995
Hg 4.008 0.181 -7.290
Hg 0.655 1.177 -4.758
Hg 2.526 -0.894 -1.464
W 0.000 0.000 0.000
W 3.267 -0.357 -4.377

Record 2
4
Lattice="2.686 0.003 0.000 -1.280 2.361 0.000 0.000 0.000 9.285" Properties=species:S:1:pos:R:3 comment="LiFePt2 | Alexandria via LeMat-Bulk | PBE | relaxed" e_form_ev_per_atom=-0.09 dft_energy_ev_per_atom=-5.7037 pbc="T T T"
Fe 0.000 0.000 4.647
Li 0.703 1.182 6.985
Pt 0.000 0.000 9.129
Pt 0.703 1.182 2.452

Record 3
8
Lattice="4.172 0.000 0.000 0.000 4.172 0.000 0.000 0.000 9.602" Properties=species:S:1:pos:R:3 comment="AgPbSeF | Alexandria via LeMat-Bulk | PBE | relaxed" dft_energy_ev_per_atom=-4.0245 pbc="T T T"
Ag 0.000 0.000 4.801
Ag 2.086 2.086 4.801
Pb 0.000 2.086 8.083
Pb 2.086 0.000 1.520
Se 2.086 0.000 6.676
Se 0.000 2.086 2.926
F 2.086 2.086 0.000
F 0.000 0.000 0.000